DFT (PBE) results for an optimized crystal structure of Th4FeS2Cl.

Lattice parameters (Å, degrees): 3.958 7.178 7.132 70.57 90.00 90.00
Atoms (fractional coordinates):
Th: 0.000 0.271 0.222
Th: 0.500 0.247 0.762
Th: 0.000 0.729 0.778
Th: 0.500 0.753 0.238
S: 0.500 0.000 0.500
S: 0.000 0.000 0.000
Cl: 0.000 0.500 0.500
Fe: 0.500 0.500 0.000



DFT (PBE) results for an optimized crystal structure of TiFeS2Cl.

Lattice parameters (Å, degrees): 4.726 4.726 4.694 90.00 90.00 90.00
Atoms (fractional coordinates):
S: 0.000 0.500 0.000
S: 0.500 0.000 0.000
Cl: 0.000 0.000 0.500
Ti: 0.000 0.000 0.000
Fe: 0.500 0.500 0.500

offset from the most stable computed form	0	meV/atom



DFT (PBE) results for an optimized crystal structure of TiFeS2Cl.

Lattice parameters (Å, degrees): 4.418 4.418 4.402 90.00 90.00 90.00
Atoms (fractional coordinates):
S: 0.500 0.000 0.000
S: 0.000 0.500 0.000
Ti: 0.500 0.500 0.500
Fe: 0.000 0.000 0.000
Cl: 0.000 0.000 0.500

offset from the most stable computed form	267	meV/atom



no.,E_form (uncorrected) (eV/atom),total magnetic moment (μB per formula unit)
1,-1.18,0.0
2,-0.16,3.6
3,0.11,0.0